1.
SmThSc4 | the Alexandria database | GGA-PBE | optimized geometry; ΔE_f = 0.048 eV/atom
1.0
5.340 0.000 0.000
2.670 4.300 -1.699
2.670 -1.857 7.854
Sm Th Sc
1 1 4
Cartesian
5.340 1.221 3.077
0.000 0.000 0.000
5.340 3.468 0.391
5.340 -1.026 5.764
8.010 0.406 5.195
2.670 2.037 0.960

---

2.
CeTl2Ag | the Alexandria database | GGA-PBE | optimized geometry; distance to the lowest polymorph of the same formula = 0.00 eV/f.u.; ΔE_f = -0.188 eV/atom
1.0
4.694 0.000 -1.302
-0.361 4.680 -1.302
0.078 0.084 9.393
Ce Tl Ag
2 4 2
Cartesian
0.596 0.644 2.148
3.815 4.120 4.641
-0.181 2.340 -0.651
2.347 0.000 -0.651
1.591 1.718 5.736
2.820 3.046 1.053
0.942 3.552 3.395
3.469 1.212 3.395

---

3.
Tm4Sb2N | the Alexandria database | GGA-PBE | optimized geometry; distance to the lowest polymorph of the same formula = 0.00 eV/f.u.; formation energy from raw total energies = -1063 meV per atom
1.0
-2.383 -1.180 3.693
3.239 -2.987 1.135
4.145 3.541 6.610
Sb Tm N
2 4 1
Cartesian
3.510 -0.152 7.824
1.491 -0.476 3.614
2.072 -2.329 6.199
2.930 1.702 5.238
1.620 -1.494 0.568
-1.191 -0.590 1.846
0.000 0.000 0.000